A plane-wave DFT calculation with PBE-GGA was carried out for an optimized crystal structure of HfVGa2Ni.

Computed properties:
Total magnetization (μB per cell): 0.0
Energy of formation from the pure elements (kcal/mol of atoms): 29.6
Volume (Å³/atom): 22.69

Cell lengths 5.0523, 4.4445, 5.0523 Å; angles 90.00, 90.00, 90.00 degrees
With the nearest neighbours (Å) after each atom.
Fractional coordinates of all 5 atoms:
Ni  0.0000  0.5000  0.0000  2 Hf 2.22
Hf  0.0000  0.0000  0.0000  2 Ni 2.22
Ga  0.0000  0.0000  0.5000  2 Hf 2.53
Ga  0.5000  0.0000  0.0000  2 Hf 2.53
V  0.5000  0.5000  0.5000  8 Ga 3.36, 4 Ni 3.57